(1)
# Pm4CoGeBr2 (PBE, relaxed)
data_Pm4CoGeBr2
_symmetry_space_group_name_H-M 'P 1 2/m 1'
_symmetry_Int_Tables_number 10
_cell_length_a 7.4104
_cell_length_b 4.0695
_cell_length_c 7.8086
_cell_angle_alpha 90.00
_cell_angle_beta 106.85
_cell_angle_gamma 90.00
loop_
_symmetry_equiv_pos_as_xyz
'x,y,z'
'-x,-y,-z'
'-x,y,-z'
'x,-y,z'
loop_
_atom_site_label
_atom_site_fract_x
_atom_site_fract_y
_atom_site_fract_z
_atom_site_occupancy
Pm1 0.2153 0.0000 0.1953 1
Pm2 0.2444 0.5000 0.7988 1
Co1 0.0000 0.5000 0.0000 1
Ge1 0.5000 0.0000 0.0000 1
Br1 0.0000 0.0000 0.5000 1
Br2 0.5000 0.5000 0.5000 1
# density of states at the Fermi level: 0.780 states/eV per atom
# formation energy from raw total energies: -889.8 meV/atom
# M_tot: 0.00 μB per formula unit
# density: 6.4 g/cm3

(2)
# Ag2SnGe (PBE, relaxed)
data_Ag2SnGe
_symmetry_space_group_name_H-M 'I -4 2 d'
_symmetry_Int_Tables_number 122
_symmetry_space_group_name_Hall 'I -4 2bw'
_cell_length_a 4.3233
_cell_length_b 4.3233
_cell_length_c 18.5071
_cell_angle_alpha 90.00
_cell_angle_beta 90.00
_cell_angle_gamma 90.00
loop_
_atom_site_label
_atom_site_fract_x
_atom_site_fract_y
_atom_site_fract_z
_atom_site_occupancy
Ag1 0.2311 0.2500 0.1250 1
Sn1 0.0000 0.0000 0.5000 1
Ge1 0.0000 0.0000 0.0000 1
# density of states at the Fermi level: 0.451 states/eV per atom
# calculated formation energy: 0.20 eV/atom
# M_tot: 0.00 μB per formula unit
# density: 7.8 g/cm3

(3)
# TlWBr2 (PBE, relaxed)
data_TlWBr2
_symmetry_space_group_name_H-M 'C m m m'
_symmetry_Int_Tables_number 65
_symmetry_space_group_name_Hall '-C 2 2'
_cell_length_a 3.1908
_cell_length_b 6.1332
_cell_length_c 10.4367
_cell_angle_alpha 90.00
_cell_angle_beta 90.00
_cell_angle_gamma 90.00
loop_
_atom_site_label
_atom_site_fract_x
_atom_site_fract_y
_atom_site_fract_z
_atom_site_occupancy
Tl1 0.0000 0.0000 0.0000 1
W1 0.0000 0.0000 0.5000 1
Br1 0.0000 0.5000 0.3031 1
# density of states at the Fermi level: 0.487 states/eV per atom
# energy above the most stable polymorph in this dataset: 132 meV/atom
# formation energy from raw total energies: 382.9 meV/atom
# M_tot: 1.22 μB per formula unit
# density: 8.9 g/cm3

(4)
# CoRuI2 (PBE, relaxed)
data_CoRuI2
_symmetry_space_group_name_H-M 'F m -3 m'
_symmetry_Int_Tables_number 225
_symmetry_space_group_name_Hall '-F 4 2 3'
_cell_length_a 6.7607
_cell_length_b 6.7607
_cell_length_c 6.7607
_cell_angle_alpha 90.00
_cell_angle_beta 90.00
_cell_angle_gamma 90.00
loop_
_atom_site_label
_atom_site_fract_x
_atom_site_fract_y
_atom_site_fract_z
_atom_site_occupancy
Co1 0.0000 0.0000 0.0000 1
Ru1 0.0000 0.0000 0.5000 1
I1 0.2500 0.2500 0.2500 1
# density of states at the Fermi level: 2.537 states/eV per atom
# energy above the most stable polymorph in this dataset: 327 meV/atom
# formation energy from raw total energies: 1017.4 meV/atom
# M_tot: 1.12 μB per formula unit
# density: 8.9 g/cm3